The following is a DFT calculation (SCAN) of FeNi2Pt at its PBEsol-relaxed geometry.

abc: 4.083 4.083 4.083
angles: 60.00 60.00 60.00
Fractional coordinates of all 4 atoms:
1 Ni 0.750 0.750 0.750
2 Ni 0.000 0.000 0.000
3 Fe 0.500 0.500 0.500
4 Pt 0.250 0.250 0.250

Results
Calculated total energy ... -30.29 eV per atom
V ... 12.03 A^3/atom
Formation enthalpy at 0 K ... -0.12 eV per atom